## BePtW2 (meta-GGA SCAN)

Data for a crystal of BePtW2 relaxed with PBEsol.

a = 3.276 Å, b = 4.019 Å, c = 8.418 Å
α = 90.00°, β = 90.00°, γ = 90.00°
Fractional positions:
Be1 0.000 0.000 0.000
Be2 0.500 0.500 0.500
Pt1 0.000 0.000 0.500
Pt2 0.500 0.500 0.000
W1 0.000 0.500 0.257
W2 0.000 0.500 0.743
W3 0.500 0.000 0.243
W4 0.500 0.000 0.757

Results
Total energy, eV per atom: -53.6259
E_form, meV/atom: -145.2
Total moment, Bohr magnetons per cell: 0.0